Compound: TlGaH4
Source: the Alexandria database
Functional: GGA-PBE
Structure: relaxed

Unit cell a=8.827 b=5.601 c=7.186 alpha=90.00 beta=90.00 gamma=90.00
Space group Pnma (No. 62)
Symmetry-distinct sites (fractional):
Tl  0.185  0.250  0.158 [4 per cell]
Ga  0.064  0.250  0.680 [4 per cell]
H  0.080  0.018  0.812 [8 per cell]
H  0.099  0.750  0.418 [4 per cell]
H  0.199  0.250  0.531 [4 per cell]

Calculated values
As for the crystal system: orthorhombic. The size of the total moment comes out at 0.0 Bohr magnetons per cell. Its total energy is -72.96 eV per cell.